Entry 1:
Density functional theory data (GGA-PBEsol) for a relaxed structure of AlNiAg2Ru.

Output
For the size of the total moment, the calculation gives 1.98 μB per cell. For the calculated formation energy, the calculation gives 1.23 eV per atom. The calculation puts the uncorrected energy at -4.1817 eV per atom.

Unit cell a=4.553 b=4.553 c=4.208 alpha=90.00 beta=90.00 gamma=90.00
Sites, in units of the cell vectors:
Al1 0.000 0.000 0.000
Ni1 0.000 0.000 0.500
Ag1 0.000 0.500 0.000
Ag2 0.500 0.000 0.000
Ru1 0.500 0.500 0.500

---

Entry 2:
Density functional theory data (GGA-PBEsol) for a relaxed structure of Al11AgO17.

Output
For the size of the total moment, the calculation gives 0.00 μB per cell. The value obtained for the energy relative to the elements, uncorrected is -2.87 eV per atom. The calculation puts the uncorrected energy at -7.6100 eV per atom.

Unit cell a=22.612 b=5.617 c=5.617 alpha=120.00 beta=90.00 gamma=90.00
Sites, in units of the cell vectors:
Al1 0.000 0.000 0.000
Al2 0.025 0.666 0.334
Al3 0.106 0.665 0.833
Al4 0.107 0.165 0.334
Al5 0.108 0.167 0.832
Al6 0.175 0.666 0.333
Al7 0.325 0.666 0.333
Al8 0.392 0.167 0.832
Al9 0.393 0.165 0.334
Al10 0.394 0.665 0.833
Al11 0.475 0.666 0.334
Al12 0.500 0.000 0.000
Al13 0.525 0.334 0.666
Al14 0.606 0.833 0.665
Al15 0.607 0.334 0.165
Al16 0.608 0.832 0.167
Al17 0.675 0.333 0.666
Al18 0.825 0.333 0.666
Al19 0.892 0.832 0.167
Al20 0.893 0.334 0.165
Al21 0.894 0.833 0.665
Al22 0.975 0.334 0.666
Ag1 0.250 0.442 0.651
Ag2 0.750 0.651 0.442
O1 0.050 0.314 0.157
O2 0.050 0.842 0.156
O3 0.050 0.842 0.686
O4 0.055 0.333 0.667
O5 0.142 0.999 0.000
O6 0.145 0.003 0.500
O7 0.145 0.496 0.504
O8 0.146 0.498 0.993
O9 0.250 0.647 0.354
O10 0.354 0.498 0.993
O11 0.355 0.003 0.500
O12 0.355 0.496 0.504
O13 0.358 0.999 0.000
O14 0.445 0.333 0.667
O15 0.450 0.314 0.157
O16 0.450 0.842 0.156
O17 0.450 0.842 0.686
O18 0.550 0.156 0.842
O19 0.550 0.157 0.314
O20 0.550 0.686 0.842
O21 0.555 0.667 0.333
O22 0.642 0.000 0.999
O23 0.645 0.500 0.003
O24 0.645 0.504 0.496
O25 0.646 0.993 0.498
O26 0.750 0.354 0.647
O27 0.854 0.993 0.498
O28 0.855 0.500 0.003
O29 0.855 0.504 0.496
O30 0.858 0.000 0.999
O31 0.945 0.667 0.333
O32 0.950 0.156 0.842
O33 0.950 0.157 0.314
O34 0.950 0.686 0.842

---

Entry 3:
Density functional theory data (GGA-PBEsol) for a relaxed structure of Al11AgO17.

Output
For the size of the total moment, the calculation gives 0.00 μB per cell. The value obtained for the energy relative to the elements, uncorrected is -2.87 eV per atom. The calculation puts the uncorrected energy at -7.6088 eV per atom.

Unit cell a=5.617 b=5.617 c=22.606 alpha=90.00 beta=90.00 gamma=120.10
Sites, in units of the cell vectors:
Al1 0.000 0.000 0.000
Al2 0.000 0.000 0.500
Al3 0.167 0.833 0.606
Al4 0.167 0.833 0.894
Al5 0.169 0.335 0.607
Al6 0.169 0.335 0.893
Al7 0.333 0.667 0.025
Al8 0.333 0.667 0.175
Al9 0.333 0.667 0.325
Al10 0.333 0.667 0.475
Al11 0.335 0.169 0.107
Al12 0.335 0.169 0.393
Al13 0.665 0.831 0.607
Al14 0.665 0.831 0.893
Al15 0.667 0.333 0.525
Al16 0.667 0.333 0.675
Al17 0.667 0.333 0.825
Al18 0.667 0.333 0.975
Al19 0.831 0.665 0.107
Al20 0.831 0.665 0.393
Al21 0.833 0.167 0.106
Al22 0.833 0.167 0.394
Ag1 0.247 0.753 0.750
Ag2 0.753 0.247 0.250
O1 0.001 0.999 0.642
O2 0.001 0.999 0.858
O3 0.009 0.505 0.646
O4 0.009 0.505 0.854
O5 0.155 0.314 0.050
O6 0.155 0.314 0.450
O7 0.157 0.843 0.051
O8 0.157 0.843 0.449
O9 0.314 0.155 0.550
O10 0.314 0.155 0.950
O11 0.324 0.676 0.250
O12 0.334 0.666 0.555
O13 0.334 0.666 0.945
O14 0.495 0.991 0.646
O15 0.495 0.991 0.854
O16 0.500 0.500 0.145
O17 0.500 0.500 0.355
O18 0.500 0.500 0.645
O19 0.500 0.500 0.855
O20 0.505 0.009 0.146
O21 0.505 0.009 0.354
O22 0.666 0.334 0.055
O23 0.666 0.334 0.445
O24 0.676 0.324 0.750
O25 0.686 0.845 0.050
O26 0.686 0.845 0.450
O27 0.843 0.157 0.551
O28 0.843 0.157 0.949
O29 0.845 0.686 0.550
O30 0.845 0.686 0.950
O31 0.991 0.495 0.146
O32 0.991 0.495 0.354
O33 0.999 0.001 0.142
O34 0.999 0.001 0.358

---

Entry 4:
Density functional theory data (GGA-PBEsol) for a relaxed structure of AlSiAgO4.

Output
For the size of the total moment, the calculation gives 0.00 μB per cell. The value obtained for the energy relative to the elements, uncorrected is -2.25 eV per atom. The calculation puts the uncorrected energy at -7.1296 eV per atom.

Unit cell a=9.108 b=9.108 c=9.108 alpha=90.20 beta=90.20 gamma=90.20
Sites, in units of the cell vectors:
Al1 0.000 0.246 0.754
Al2 0.246 0.754 0.000
Al3 0.254 0.746 0.500
Al4 0.500 0.254 0.746
Al5 0.746 0.500 0.254
Al6 0.754 0.000 0.246
Si1 0.250 0.999 0.751
Si2 0.251 0.499 0.750
Si3 0.499 0.750 0.251
Si4 0.750 0.251 0.499
Si5 0.751 0.250 0.999
Si6 0.999 0.751 0.250
Ag1 0.004 0.494 0.006
Ag2 0.006 0.004 0.494
Ag3 0.494 0.006 0.004
Ag4 0.504 0.506 0.994
Ag5 0.506 0.994 0.504
Ag6 0.994 0.504 0.506
O1 0.101 0.799 0.392
O2 0.102 0.696 0.114
O3 0.109 0.399 0.803
O4 0.114 0.102 0.696
O5 0.196 0.602 0.614
O6 0.203 0.899 0.888
O7 0.299 0.601 0.892
O8 0.303 0.899 0.609
O9 0.388 0.400 0.703
O10 0.392 0.101 0.799
O11 0.399 0.803 0.109
O12 0.400 0.703 0.388
O13 0.601 0.892 0.299
O14 0.602 0.614 0.196
O15 0.609 0.303 0.899
O16 0.614 0.196 0.602
O17 0.696 0.114 0.102
O18 0.703 0.388 0.400
O19 0.799 0.392 0.101
O20 0.803 0.109 0.399
O21 0.888 0.203 0.900
O22 0.892 0.299 0.601
O23 0.899 0.609 0.303
O24 0.900 0.888 0.203

---

Entry 5:
Density functional theory data (GGA-PBEsol) for a relaxed structure of AlSi3AgO8.

Output
For the size of the total moment, the calculation gives 0.00 μB per cell. The value obtained for the energy relative to the elements, uncorrected is -2.52 eV per atom. The calculation puts the uncorrected energy at -7.6411 eV per atom.

Unit cell a=7.188 b=7.516 c=7.761 alpha=114.32 beta=109.11 gamma=98.86
Sites, in units of the cell vectors:
Al1 0.202 0.345 0.173
Al2 0.798 0.655 0.827
Si1 0.242 0.689 0.817
Si2 0.305 0.088 0.801
Si3 0.366 0.306 0.562
Si4 0.634 0.694 0.438
Si5 0.695 0.912 0.199
Si6 0.758 0.311 0.183
Ag1 0.156 0.783 0.267
Ag2 0.844 0.217 0.733
O1 0.041 0.628 0.857
O2 0.173 0.207 0.913
O3 0.221 0.840 0.713
O4 0.265 0.482 0.657
O5 0.277 0.108 0.591
O6 0.288 0.220 0.315
O7 0.381 0.599 0.303
O8 0.448 0.812 0.041
O9 0.552 0.188 0.959
O10 0.619 0.401 0.697
O11 0.712 0.780 0.685
O12 0.723 0.892 0.409
O13 0.735 0.518 0.343
O14 0.779 0.160 0.287
O15 0.827 0.793 0.087
O16 0.959 0.372 0.143

---

Entry 6:
Density functional theory data (GGA-PBEsol) for a relaxed structure of Al2AgOs.

Output
For the size of the total moment, the calculation gives 0.00 μB per cell. For the calculated formation energy, the calculation gives -0.12 eV per atom. The calculation puts the uncorrected energy at -6.0519 eV per atom.

Unit cell a=2.859 b=2.859 c=25.460 alpha=90.00 beta=90.00 gamma=120.00
Sites, in units of the cell vectors:
Al1 0.000 0.000 0.244
Al2 0.000 0.000 0.756
Al3 0.333 0.667 0.423
Al4 0.333 0.667 0.911
Al5 0.667 0.333 0.089
Al6 0.667 0.333 0.577
Ag1 0.000 0.000 0.000
Ag2 0.333 0.667 0.667
Ag3 0.667 0.333 0.333
Os1 0.000 0.000 0.500
Os2 0.333 0.667 0.167
Os3 0.667 0.333 0.833

---

Entry 7:
Density functional theory data (GGA-PBEsol) for a relaxed structure of Al2AgOs.

Output
For the size of the total moment, the calculation gives 0.00 μB per cell. For the calculated formation energy, the calculation gives -0.03 eV per atom. The calculation puts the uncorrected energy at -5.9538 eV per atom.

Unit cell a=8.514 b=2.919 c=4.927 alpha=90.00 beta=102.01 gamma=90.00
Sites, in units of the cell vectors:
Al1 0.240 0.000 0.225
Al2 0.260 0.500 0.775
Al3 0.740 0.500 0.225
Al4 0.760 0.000 0.775
Ag1 0.000 0.000 0.500
Ag2 0.500 0.500 0.500
Os1 0.000 0.500 0.000
Os2 0.500 0.000 0.000

---

Entry 8:
Density functional theory data (GGA-PBEsol) for a relaxed structure of Al3AgOs.

Output
For the size of the total moment, the calculation gives 0.00 μB per cell. For the calculated formation energy, the calculation gives 0.24 eV per atom. The calculation puts the uncorrected energy at -5.3186 eV per atom.

Unit cell a=4.687 b=4.687 c=4.687 alpha=90.00 beta=90.00 gamma=90.00
Sites, in units of the cell vectors:
Al1 0.000 0.000 0.500
Al2 0.000 0.500 0.000
Al3 0.500 0.000 0.000
Ag1 0.500 0.500 0.500
Os1 0.000 0.000 0.000

---

Entry 9:
Density functional theory data (GGA-PBEsol) for a relaxed structure of AlAg2OsPb.

Output
For the size of the total moment, the calculation gives 0.00 μB per cell. For the calculated formation energy, the calculation gives 0.89 eV per atom. The calculation puts the uncorrected energy at -4.4912 eV per atom.

Unit cell a=5.046 b=5.046 c=4.617 alpha=90.00 beta=90.00 gamma=90.00
Sites, in units of the cell vectors:
Al1 0.000 0.000 0.000
Ag1 0.000 0.500 0.500
Ag2 0.500 0.000 0.500
Os1 0.000 0.000 0.500
Pb1 0.500 0.500 0.000

---

Entry 10:
Density functional theory data (GGA-PBEsol) for a relaxed structure of Al2AgP.

Output
For the size of the total moment, the calculation gives 0.00 μB per cell. For the calculated formation energy, the calculation gives 0.07 eV per atom. The calculation puts the uncorrected energy at -4.2500 eV per atom.

Unit cell a=3.234 b=3.234 c=22.509 alpha=90.00 beta=90.00 gamma=120.00
Sites, in units of the cell vectors:
Al1 0.000 0.000 0.000
Al2 0.000 0.000 0.240
Al3 0.333 0.667 0.667
Al4 0.333 0.667 0.907
Al5 0.667 0.333 0.333
Al6 0.667 0.333 0.574
Ag1 0.000 0.000 0.488
Ag2 0.333 0.667 0.155
Ag3 0.667 0.333 0.821
P1 0.000 0.000 0.735
P2 0.333 0.667 0.401
P3 0.667 0.333 0.068

---

Entry 11:
Density functional theory data (GGA-PBEsol) for a relaxed structure of AlAg3P.

Output
For the size of the total moment, the calculation gives 0.00 μB per cell. For the calculated formation energy, the calculation gives 0.92 eV per atom. The calculation puts the uncorrected energy at -3.0418 eV per atom.

Unit cell a=4.714 b=4.714 c=4.714 alpha=90.00 beta=90.00 gamma=90.00
Sites, in units of the cell vectors:
Al1 0.000 0.000 0.000
Ag1 0.000 0.000 0.500
Ag2 0.000 0.500 0.000
Ag3 0.500 0.000 0.000
P1 0.500 0.500 0.500

---

Entry 12:
Density functional theory data (GGA-PBEsol) for a relaxed structure of Al2AgP.

Output
For the size of the total moment, the calculation gives 0.00 μB per cell. For the calculated formation energy, the calculation gives -0.04 eV per atom. The calculation puts the uncorrected energy at -4.3566 eV per atom.

Unit cell a=3.459 b=3.459 c=5.772 alpha=90.00 beta=90.00 gamma=90.00
Sites, in units of the cell vectors:
Al1 0.000 0.000 0.000
Al2 0.500 0.500 0.337
Ag1 0.500 0.500 0.842
P1 0.000 0.000 0.414

---

Entry 13:
Density functional theory data (GGA-PBEsol) for a relaxed structure of AlAgP.

Output
For the size of the total moment, the calculation gives 0.00 μB per cell. For the calculated formation energy, the calculation gives 0.16 eV per atom. The calculation puts the uncorrected energy at -4.2378 eV per atom.

Unit cell a=3.385 b=3.385 c=8.701 alpha=90.00 beta=90.00 gamma=90.00
Sites, in units of the cell vectors:
Al1 0.000 0.000 0.000
Al2 0.500 0.500 0.500
Ag1 0.000 0.000 0.307
Ag2 0.500 0.500 0.807
P1 0.000 0.000 0.602
P2 0.500 0.500 0.102

---

Entry 14:
Density functional theory data (GGA-PBEsol) for a relaxed structure of Al2AgP.

Output
For the size of the total moment, the calculation gives 0.00 μB per cell. For the calculated formation energy, the calculation gives -0.08 eV per atom. The calculation puts the uncorrected energy at -4.3982 eV per atom.

Unit cell a=3.457 b=3.452 c=5.921 alpha=90.00 beta=107.12 gamma=90.00
Sites, in units of the cell vectors:
Al1 0.000 0.000 0.000
Al2 0.331 0.500 0.663
Ag1 0.745 0.000 0.494
P1 0.545 0.500 0.090

---

Entry 15:
Density functional theory data (GGA-PBEsol) for a relaxed structure of Al2AgP.

Output
For the size of the total moment, the calculation gives 0.00 μB per cell. For the calculated formation energy, the calculation gives -0.03 eV per atom. The calculation puts the uncorrected energy at -4.3501 eV per atom.

Unit cell a=2.713 b=3.335 c=7.318 alpha=90.00 beta=90.00 gamma=90.00
Sites, in units of the cell vectors:
Al1 0.000 0.000 0.248
Al2 0.000 0.000 0.752
Ag1 0.500 0.500 0.000
P1 0.000 0.500 0.500

---

Entry 16:
Density functional theory data (GGA-PBEsol) for a relaxed structure of Al2AgP.

Output
For the size of the total moment, the calculation gives 0.00 μB per cell. For the calculated formation energy, the calculation gives -0.10 eV per atom. The calculation puts the uncorrected energy at -4.4199 eV per atom.

Unit cell a=5.953 b=3.432 c=6.957 alpha=90.00 beta=106.28 gamma=90.00
Sites, in units of the cell vectors:
Al1 0.238 0.000 0.217
Al2 0.262 0.500 0.783
Al3 0.738 0.500 0.217
Al4 0.762 0.000 0.783
Ag1 0.000 0.000 0.500
Ag2 0.500 0.500 0.500
P1 0.000 0.500 0.000
P2 0.500 0.000 0.000

---

Entry 17:
Density functional theory data (GGA-PBEsol) for a relaxed structure of AlAg3Pb.

Output
For the size of the total moment, the calculation gives 0.00 μB per cell. For the calculated formation energy, the calculation gives 0.87 eV per atom. The calculation puts the uncorrected energy at -2.7333 eV per atom.

Unit cell a=5.214 b=5.214 c=5.214 alpha=90.00 beta=90.00 gamma=90.00
Sites, in units of the cell vectors:
Al1 0.000 0.000 0.000
Ag1 0.000 0.500 0.500
Ag2 0.500 0.000 0.500
Ag3 0.500 0.500 0.000
Pb1 0.500 0.500 0.500

---

Entry 18:
Density functional theory data (GGA-PBEsol) for a relaxed structure of AlAgPb2.

Output
For the size of the total moment, the calculation gives 0.00 μB per cell. For the calculated formation energy, the calculation gives 0.22 eV per atom. The calculation puts the uncorrected energy at -3.6323 eV per atom.

Unit cell a=3.462 b=3.462 c=27.463 alpha=90.00 beta=90.00 gamma=120.00
Sites, in units of the cell vectors:
Al1 0.000 0.000 0.000
Al2 0.333 0.667 0.667
Al3 0.667 0.333 0.333
Ag1 0.000 0.000 0.500
Ag2 0.333 0.667 0.167
Ag3 0.667 0.333 0.833
Pb1 0.000 0.000 0.249
Pb2 0.000 0.000 0.751
Pb3 0.333 0.667 0.418
Pb4 0.333 0.667 0.916
Pb5 0.667 0.333 0.084
Pb6 0.667 0.333 0.582

---

Entry 19:
Density functional theory data (GGA-PBEsol) for a relaxed structure of Al2AgPd2.

Output
For the size of the total moment, the calculation gives 0.00 μB per cell. For the calculated formation energy, the calculation gives -0.65 eV per atom. The calculation puts the uncorrected energy at -5.3363 eV per atom.

Unit cell a=7.279 b=7.279 c=2.841 alpha=90.00 beta=90.00 gamma=90.00
Sites, in units of the cell vectors:
Al1 0.157 0.343 0.000
Al2 0.343 0.843 0.000
Al3 0.657 0.157 0.000
Al4 0.843 0.657 0.000
Ag1 0.000 0.000 0.500
Ag2 0.500 0.500 0.500
Pd1 0.140 0.640 0.500
Pd2 0.360 0.140 0.500
Pd3 0.640 0.860 0.500
Pd4 0.860 0.360 0.500

---

Entry 20:
Density functional theory data (GGA-PBEsol) for a relaxed structure of Al2AgPd.

Output
For the size of the total moment, the calculation gives 0.00 μB per cell. For the calculated formation energy, the calculation gives -0.48 eV per atom. The calculation puts the uncorrected energy at -4.8450 eV per atom.

Unit cell a=6.190 b=6.190 c=6.190 alpha=90.00 beta=90.00 gamma=90.00
Sites, in units of the cell vectors:
Al1 0.250 0.250 0.250
Al2 0.250 0.250 0.750
Al3 0.250 0.750 0.250
Al4 0.250 0.750 0.750
Al5 0.750 0.250 0.250
Al6 0.750 0.250 0.750
Al7 0.750 0.750 0.250
Al8 0.750 0.750 0.750
Ag1 0.000 0.000 0.000
Ag2 0.000 0.500 0.500
Ag3 0.500 0.000 0.500
Ag4 0.500 0.500 0.000
Pd1 0.000 0.000 0.500
Pd2 0.000 0.500 0.000
Pd3 0.500 0.000 0.000
Pd4 0.500 0.500 0.500